--- A ---
10
Lattice="-2.6686 4.5312 -2.4195 -4.3788 0.2035 5.2108 7.2296 2.5793 3.7807" Properties=species:S:1:pos:R:3 comment="CeTh3Pb, relaxed, DFT GGA-PBE" dos_ef_per_ev_cell=15.3 crystal_system=monoclinic m_tot_mub_per_fu=0.0 pbc="T T T"
Ce -1.7576 5.4219 5.1682
Ce 1.9399 1.8920 1.4038
Th 1.1239 7.1275 5.1842
Th -0.9416 0.1864 1.3878
Th 4.4415 3.8188 2.2530
Th -4.2592 3.4951 4.3190
Th -0.5142 2.0044 4.3210
Th 0.6964 5.3095 2.2510
Pb -2.1134 3.3537 1.6874
Pb 2.2956 3.9602 4.8846



--- B ---
10
Lattice="3.4928 0.0000 0.0000 0.0000 8.6220 -4.5270 0.0000 -0.5324 10.7266" Properties=species:S:1:pos:R:3 comment="CeTh3Pb, relaxed, DFT GGA-PBE" dos_ef_per_ev_cell=15.2 crystal_system=monoclinic m_tot_mub_per_fu=0.0 pbc="T T T"
Ce 0.8732 7.3127 0.9171
Ce 2.6196 0.7770 5.2826
Th 0.8732 0.6174 2.1788
Th 2.6196 7.4722 4.0209
Th 2.6196 3.7785 4.5215
Th 0.8732 4.3112 1.6782
Th 0.8732 2.5046 7.5670
Th 2.6196 5.5851 -1.3673
Pb 2.6196 2.1754 -0.3210
Pb 0.8732 5.9143 6.5207



Name the least stable of them. B.



--- A ---
4
Lattice="-1.9960 2.3625 0.1239 -2.0263 0.1934 2.3318 5.6055 6.4282 6.3923" Properties=species:S:1:pos:R:3 comment="CeTi2Pb, relaxed, DFT GGA-PBE" dos_ef_per_ev_cell=5.8 crystal_system=trigonal m_tot_mub_per_fu=0.0 pbc="T T T"
Pb 0.7916 4.4920 4.4240
Ce 0.0000 0.0000 0.0000
Ti 3.7503 4.9389 4.9037
Ti -2.1671 4.0452 3.9443



--- B ---
4
Lattice="-0.7869 -2.3605 -3.0067 2.7380 -3.2750 1.8546 -3.6448 -1.7354 2.3164" Properties=species:S:1:pos:R:3 comment="CeTi2Pb, relaxed, DFT GGA-PBE" dos_ef_per_ev_cell=7.2 crystal_system=tetragonal m_tot_mub_per_fu=0.0 pbc="T T T"
Pb -0.3935 -1.1803 -1.5034
Ce -0.8469 -3.6855 0.5821
Ti -1.8224 -0.8677 1.1582
Ti 1.3690 -1.6375 0.9273



Name the least stable of them. A.